No. 1
! MgHgBr | Alexandria | PBE | optimized geometry; values from VASP
! DOS(E_F) (states/eV/cell): 2.6
! E above lowest polymorph (meV per atom): 0.0
! Uncorrected formation energy (eV per atom): -0.641
! Symmetry: P-3m1 (164)
&SYSTEM
  ibrav = 0, nat = 12, ntyp = 3
/
ATOMIC_SPECIES
Mg 24.30 Mg.upf
Hg 200.59 Hg.upf
Br 79.90 Br.upf
CELL_PARAMETERS angstrom
3.7106 0.0000 0.0000
-1.8553 3.2134 0.0000
0.0000 0.0000 28.4767
ATOMIC_POSITIONS angstrom
Mg 0.0000 2.1423 3.0660
Mg 0.0000 2.1423 17.8048
Mg 1.8553 1.0711 10.6719
Mg 1.8553 1.0711 25.4107
Hg 0.0000 2.1423 23.3286
Hg 0.0000 2.1423 27.3548
Hg 1.8553 1.0711 1.1219
Hg 1.8553 1.0711 5.1481
Br 0.0000 2.1423 8.9871
Br 0.0000 2.1423 12.3498
Br 1.8553 1.0711 16.1269
Br 1.8553 1.0711 19.4896

***

No. 2
! LiTl2Co | Alexandria | PBE | optimized geometry; values from VASP
! DOS(E_F) (states/eV/cell): 2.6
! Symmetry: Imm2 (44)
! ΔE_f (eV per atom): 0.237
&SYSTEM
  ibrav = 0, nat = 4, ntyp = 3
/
ATOMIC_SPECIES
Li 6.94 Li.upf
Tl 204.38 Tl.upf
Co 58.93 Co.upf
CELL_PARAMETERS angstrom
-1.5965 2.2004 5.6245
1.5965 -2.2004 5.6245
1.5965 2.2004 -5.6245
ATOMIC_POSITIONS angstrom
Li 0.0000 0.0000 0.0000
Tl 1.5965 0.0000 3.6368
Tl 0.0000 0.0000 6.7868
Co 0.0000 2.2004 3.4269

***

No. 3
! TlP3Se3 | Alexandria | PBE | optimized geometry; values from VASP
! DOS(E_F) (states/eV/cell): 4.6
! Uncorrected formation energy (eV per atom): 0.312
! Symmetry: P6_3/m (176)
&SYSTEM
  ibrav = 0, nat = 14, ntyp = 3
/
ATOMIC_SPECIES
Tl 204.38 Tl.upf
P 30.97 P.upf
Se 78.96 Se.upf
CELL_PARAMETERS angstrom
9.1538 0.0000 0.0000
-4.5769 7.9275 0.0000
0.0000 0.0000 4.5293
ATOMIC_POSITIONS angstrom
Tl 0.0000 5.2850 1.1323
Tl 4.5769 2.6425 3.3970
P 8.2350 1.5890 1.1323
P -3.6581 6.3385 3.3970
P 0.9167 1.5902 3.3970
P 1.8355 0.0012 1.1323
P 2.7414 7.9262 3.3970
P 3.6602 6.3372 1.1323
Se -1.0261 2.9526 3.3970
Se -1.5068 7.3398 3.3970
Se 2.0440 2.3650 1.1323
Se 2.5329 5.5625 3.3970
Se 6.0837 0.5877 1.1323
Se 5.6030 4.9748 1.1323

***

No. 4
! Ta2CuOs | Alexandria | PBE | optimized geometry; values from VASP
! DOS(E_F) (states/eV/cell): 3.6
! Symmetry: Immm (71)
! ΔE_f (eV per atom): 0.848
&SYSTEM
  ibrav = 0, nat = 4, ntyp = 3
/
ATOMIC_SPECIES
Ta 180.95 Ta.upf
Cu 63.55 Cu.upf
Os 190.23 Os.upf
CELL_PARAMETERS angstrom
-1.4816 2.2733 5.0651
1.4816 -2.2733 5.0651
1.4816 2.2733 -5.0651
ATOMIC_POSITIONS angstrom
Ta 0.0000 0.0000 2.4976
Ta 0.0000 0.0000 7.6326
Cu 0.0000 0.0000 0.0000
Os 0.0000 0.0000 5.0651

***

No. 5
! Tb4Dy3Er3 | Alexandria | PBE | optimized geometry; values from VASP
! DOS(E_F) (states/eV/cell): 8.2
! Symmetry: Amm2 (38)
! ΔE_f (eV per atom): 0.092
&SYSTEM
  ibrav = 0, nat = 10, ntyp = 3
/
ATOMIC_SPECIES
Tb 158.93 Tb.upf
Dy 162.50 Dy.upf
Er 167.26 Er.upf
CELL_PARAMETERS angstrom
3.7082 0.0000 0.0000
0.0000 6.5267 6.5221
0.0000 -6.5267 6.5221
ATOMIC_POSITIONS angstrom
Tb 0.0000 0.0000 0.0000
Tb 0.0000 0.0000 3.3332
Tb 0.0000 -1.6726 8.1947
Tb 0.0000 1.6726 8.1947
Dy 0.0000 -3.2749 4.9248
Dy 0.0000 3.2749 4.9248
Dy 1.8541 0.0000 5.9658
Er 1.8541 -4.3014 8.1882
Er 1.8541 0.0000 10.4149
Er 1.8541 4.3014 8.1882

***

No. 6
! Ac3Sn | Alexandria | PBE | optimized geometry; values from VASP
! DOS(E_F) (states/eV/cell): 23.5
! E above lowest polymorph (meV per atom): 10.3
! Symmetry: I-4 (82)
! ΔE_f (eV per atom): -0.377
&SYSTEM
  ibrav = 0, nat = 16, ntyp = 2
/
ATOMIC_SPECIES
Ac 227.00 Ac.upf
Sn 118.71 Sn.upf
CELL_PARAMETERS angstrom
-6.8794 6.8794 3.4004
6.8794 -6.8794 3.4004
6.8794 6.8794 -3.4004
ATOMIC_POSITIONS angstrom
Ac 3.8870 4.4348 -1.7003
Ac 6.4501 1.9143 -0.1189
Ac 7.9740 5.3302 -1.7663
Ac -1.0946 1.5493 1.6341
Ac 2.9924 2.4446 1.7001
Ac 4.9651 -0.4293 3.5193
Ac 9.3240 3.8870 1.7003
Ac 1.9143 7.3087 0.1189
Ac 5.3302 5.7848 1.7663
Ac 1.5493 1.0946 5.1666
Ac 0.4293 4.9651 3.2815
Ac -2.4446 2.9924 5.1007
Sn 9.6241 0.6002 0.1575
Sn 0.6002 4.1347 -0.1575
Sn 6.2792 2.7447 3.2428
Sn -2.7447 6.2792 3.5579

***

No. 7
! ZnInPt2 | Alexandria | PBE | optimized geometry; values from VASP
! DOS(E_F) (states/eV/cell): 1.6
! Symmetry: Pmm2 (25)
! ΔE_f (eV per atom): -0.362
&SYSTEM
  ibrav = 0, nat = 4, ntyp = 3
/
ATOMIC_SPECIES
Zn 65.41 Zn.upf
In 114.82 In.upf
Pt 195.08 Pt.upf
CELL_PARAMETERS angstrom
2.9389 0.0000 0.0000
0.0000 4.1065 0.0000
0.0000 0.0000 5.6217
ATOMIC_POSITIONS angstrom
Zn 0.0000 0.0000 0.0000
In 1.4694 2.0532 1.8637
Pt 0.0000 0.0000 2.9665
Pt 1.4694 2.0532 4.7705

***

No. 8
! CeSm2ErSb4 | Alexandria | PBE | optimized geometry; values from VASP
! DOS(E_F) (states/eV/cell): 7.5
! Uncorrected formation energy (eV per atom): -1.121
! Symmetry: P2/m (10)
&SYSTEM
  ibrav = 0, nat = 8, ntyp = 4
/
ATOMIC_SPECIES
Ce 140.12 Ce.upf
Sm 150.36 Sm.upf
Er 167.26 Er.upf
Sb 121.76 Sb.upf
CELL_PARAMETERS angstrom
7.6942 0.0000 0.0000
0.0000 4.4472 0.0000
-2.5575 0.0000 7.2700
ATOMIC_POSITIONS angstrom
Ce 0.0000 0.0000 0.0000
Sm -1.2788 2.2236 3.6350
Sm 2.5683 0.0000 3.6350
Er 3.8471 2.2236 0.0000
Sb 1.3110 2.2236 1.7979
Sb 0.0289 0.0000 5.4941
Sb 5.1078 0.0000 1.7759
Sb 3.8257 2.2236 5.4722

***

No. 9
! ErAgPtRh | Alexandria | PBE | optimized geometry; values from VASP
! DOS(E_F) (states/eV/cell): 1.7
! Symmetry: F-43m (216)
! ΔE_f (eV per atom): -0.570
&SYSTEM
  ibrav = 0, nat = 4, ntyp = 4
/
ATOMIC_SPECIES
Er 167.26 Er.upf
Ag 107.87 Ag.upf
Pt 195.08 Pt.upf
Rh 102.91 Rh.upf
CELL_PARAMETERS angstrom
0.0000 3.3026 3.3026
3.3026 0.0000 3.3026
3.3026 3.3026 0.0000
ATOMIC_POSITIONS angstrom
Er 0.0000 0.0000 0.0000
Ag 3.3026 3.3026 3.3026
Pt 1.6513 1.6513 1.6513
Rh 4.9539 4.9539 4.9539

***

No. 10
! Tl2Se | Alexandria | PBE | optimized geometry; values from VASP
! DOS(E_F) (states/eV/cell): 0.2
! E above lowest polymorph (meV per atom): 64.6
! Uncorrected formation energy (eV per atom): -0.308
! Symmetry: Immm (71)
&SYSTEM
  ibrav = 0, nat = 3, ntyp = 2
/
ATOMIC_SPECIES
Tl 204.38 Tl.upf
Se 78.96 Se.upf
CELL_PARAMETERS angstrom
-2.4299 2.9321 3.7605
2.4299 -2.9321 3.7605
2.4299 2.9321 -3.7605
ATOMIC_POSITIONS angstrom
Tl 0.0000 0.0000 1.7602
Tl 0.0000 0.0000 5.7608
Se 0.0000 2.9321 0.0000

***

No. 11
! TiSnPd3 | Alexandria | PBE | optimized geometry; values from VASP
! DOS(E_F) (states/eV/cell): 4.0
! E above lowest polymorph (meV per atom): 921.5
! Symmetry: Pm-3m (221)
! ΔE_f (eV per atom): 0.305
&SYSTEM
  ibrav = 0, nat = 5, ntyp = 3
/
ATOMIC_SPECIES
Ti 47.87 Ti.upf
Sn 118.71 Sn.upf
Pd 106.42 Pd.upf
CELL_PARAMETERS angstrom
4.7195 0.0000 0.0000
0.0000 4.7195 0.0000
0.0000 0.0000 4.7195
ATOMIC_POSITIONS angstrom
Ti 0.0000 0.0000 0.0000
Sn 2.3597 2.3597 2.3597
Pd 0.0000 0.0000 2.3597
Pd 0.0000 2.3597 0.0000
Pd 2.3597 0.0000 0.0000

***

No. 12
! Cs5RbO | Alexandria | PBE | optimized geometry; values from VASP
! DOS(E_F) (states/eV/cell): 8.6
! Uncorrected formation energy (eV per atom): -0.416
! Symmetry: C2/c (15)
&SYSTEM
  ibrav = 0, nat = 14, ntyp = 3
/
ATOMIC_SPECIES
Cs 132.91 Cs.upf
Rb 85.47 Rb.upf
O 16.00 O.upf
CELL_PARAMETERS angstrom
8.1757 -5.4799 0.0000
8.1757 5.4799 0.0000
-5.4241 0.0000 12.1936
ATOMIC_POSITIONS angstrom
Cs 4.1076 5.4510 9.1452
Cs 3.5932 3.4906 5.2443
Cs 0.9260 3.4289 11.4058
Cs 10.0461 3.4906 0.8525
Cs 7.2892 3.4289 6.8846
Cs 3.6380 -3.4289 5.3090
Cs 0.8811 -3.4906 11.3411
Cs 10.0012 -3.4289 0.7878
Cs 7.3341 -3.4906 6.9493
Cs 6.8196 -5.4510 3.0484
Rb 6.8196 -0.0045 3.0484
Rb 4.1076 0.0045 9.1452
O 0.0000 0.0000 0.0000
O -2.7120 0.0000 6.0968

***

No. 13
! SrTeAs | Alexandria | PBE | optimized geometry; values from VASP
! DOS(E_F) (states/eV/cell): 1.8
! Uncorrected formation energy (eV per atom): -0.378
! Symmetry: F-43m (216)
&SYSTEM
  ibrav = 0, nat = 3, ntyp = 3
/
ATOMIC_SPECIES
Sr 87.62 Sr.upf
Te 127.60 Te.upf
As 74.92 As.upf
CELL_PARAMETERS angstrom
0.0000 3.7307 3.7307
3.7307 0.0000 3.7307
3.7307 3.7307 0.0000
ATOMIC_POSITIONS angstrom
Sr 0.0000 0.0000 0.0000
Te 1.8654 1.8654 1.8654
As 5.5961 5.5961 5.5961

***

No. 14
! Fe3HW | Alexandria | PBE | optimized geometry; values from VASP
! DOS(E_F) (states/eV/cell): 10.2
! E above lowest polymorph (meV per atom): 123.7
! Symmetry: P2_1/m (11)
&SYSTEM
  ibrav = 0, nat = 10, ntyp = 3
/
ATOMIC_SPECIES
Fe 55.84 Fe.upf
H 1.01 H.upf
W 183.84 W.upf
CELL_PARAMETERS angstrom
4.2099 0.0000 0.0000
0.0000 5.2373 0.0000
-0.0219 0.0000 4.5019
ATOMIC_POSITIONS angstrom
Fe 0.9269 1.3093 1.4386
Fe 0.9969 0.0654 3.7899
Fe 0.9969 2.5533 3.7899
Fe 3.1912 2.6841 0.7120
Fe 3.1912 5.1720 0.7120
Fe 3.2612 3.9280 3.0634
H 1.6661 3.9280 3.2378
H 2.5220 1.3093 1.2641
W 1.0226 3.9280 1.4561
W 3.1655 1.3093 3.0458

***

No. 15
! Cd2SnHRu | Alexandria | PBE | optimized geometry; values from VASP
! DOS(E_F) (states/eV/cell): 3.9
! Symmetry: P4/mmm (123)
&SYSTEM
  ibrav = 0, nat = 5, ntyp = 4
/
ATOMIC_SPECIES
Cd 112.41 Cd.upf
Sn 118.71 Sn.upf
H 1.01 H.upf
Ru 101.07 Ru.upf
CELL_PARAMETERS angstrom
5.4100 0.0000 0.0000
0.0000 5.4100 0.0000
0.0000 0.0000 3.3742
ATOMIC_POSITIONS angstrom
Cd 0.0000 2.7050 0.0000
Cd 2.7050 0.0000 0.0000
Sn 0.0000 0.0000 1.6871
H 2.7050 2.7050 1.6871
Ru 2.7050 2.7050 0.0000

***

No. 16
! CePuC2 | Alexandria | PBE | optimized geometry; values from VASP
! DOS(E_F) (states/eV/cell): 8.9
! E above lowest polymorph (meV per atom): 0.0
! Symmetry: R-3m (166)
! ΔE_f (eV per atom): 0.037
&SYSTEM
  ibrav = 0, nat = 4, ntyp = 3
/
ATOMIC_SPECIES
Ce 140.12 Ce.upf
Pu 244.00 Pu.upf
C 12.01 C.upf
CELL_PARAMETERS angstrom
1.8058 1.0426 5.7649
-1.8058 1.0426 5.7649
0.0000 -2.0852 5.7649
ATOMIC_POSITIONS angstrom
Ce 0.0000 0.0000 0.0000
Pu 0.0000 0.0000 8.6473
C 0.0000 0.0000 4.1836
C 0.0000 0.0000 13.1111

***

No. 17
! Li2LaTa | Alexandria | PBE | optimized geometry; values from VASP
! DOS(E_F) (states/eV/cell): 1.9
! E above lowest polymorph (meV per atom): 140.2
! Symmetry: Pm (6)
! ΔE_f (eV per atom): 0.482
&SYSTEM
  ibrav = 0, nat = 4, ntyp = 3
/
ATOMIC_SPECIES
Li 6.94 Li.upf
La 138.91 La.upf
Ta 180.95 Ta.upf
CELL_PARAMETERS angstrom
2.9767 0.0000 0.0000
0.0000 4.9308 0.0000
-1.0576 0.0000 6.0171
ATOMIC_POSITIONS angstrom
Li 0.0000 0.0000 0.0000
Li -0.0356 2.4654 4.7939
La 1.0502 0.0000 2.8214
Ta 2.4810 2.4654 1.5795

***

No. 18
! LuPaCuGe | Alexandria | PBE | optimized geometry; values from VASP
! DOS(E_F) (states/eV/cell): 4.5
! Symmetry: F-43m (216)
! ΔE_f (eV per atom): -0.220
&SYSTEM
  ibrav = 0, nat = 4, ntyp = 4
/
ATOMIC_SPECIES
Lu 174.97 Lu.upf
Pa 231.04 Pa.upf
Cu 63.55 Cu.upf
Ge 72.64 Ge.upf
CELL_PARAMETERS angstrom
0.0000 3.4691 3.4691
3.4691 0.0000 3.4691
3.4691 3.4691 0.0000
ATOMIC_POSITIONS angstrom
Lu 0.0000 0.0000 0.0000
Pa 3.4691 3.4691 3.4691
Cu 5.2037 5.2037 5.2037
Ge 1.7346 1.7346 1.7346

***

No. 19
! SmTe | Alexandria | PBE | optimized geometry; values from VASP
! DOS(E_F) (states/eV/cell): 4.2
! Uncorrected formation energy (eV per atom): -1.257
! Symmetry: P2_1/m (11)
&SYSTEM
  ibrav = 0, nat = 4, ntyp = 2
/
ATOMIC_SPECIES
Sm 150.36 Sm.upf
Te 127.60 Te.upf
CELL_PARAMETERS angstrom
3.9511 0.0000 0.0000
0.0000 5.1466 0.0000
-1.9644 0.0000 5.8608
ATOMIC_POSITIONS angstrom
Sm -0.0158 1.2867 1.4073
Sm 2.0025 3.8600 4.4535
Te 0.0421 1.2867 4.5642
Te 1.9446 3.8600 1.2967

***

No. 20
! Ca2CeTaN4 | Alexandria | PBE | optimized geometry; values from VASP
! DOS(E_F) (states/eV/cell): 3.3
! Uncorrected formation energy (eV per atom): -1.261
! Symmetry: P2/m (10)
&SYSTEM
  ibrav = 0, nat = 8, ntyp = 4
/
ATOMIC_SPECIES
Ca 40.08 Ca.upf
Ce 140.12 Ce.upf
Ta 180.95 Ta.upf
N 14.01 N.upf
CELL_PARAMETERS angstrom
5.9050 0.0000 0.0000
0.0000 3.3572 0.0000
-1.9194 0.0000 5.6102
ATOMIC_POSITIONS angstrom
Ca 0.0000 0.0000 0.0000
Ca 2.9525 1.6786 0.0000
Ce -0.9597 1.6786 2.8051
Ta 1.9928 0.0000 2.8051
N 0.2231 0.0000 4.0107
N 1.1038 1.6786 1.6113
N 2.8817 1.6786 3.9989
N 3.7625 0.0000 1.5995

***

| no. | M_tot (μB/atom) | energy (eV per atom) |
| --- | --- | --- |
| 1 | 0.0000 | -1.831 |
| 2 | 0.2190 | -3.201 |
| 3 | 0.0000 | -3.838 |
| 4 | 0.0000 | -8.909 |
| 5 | 0.0000 | -4.510 |
| 6 | 0.0000 | -4.459 |
| 7 | 0.0000 | -4.385 |
| 8 | 0.0865 | -5.674 |
| 9 | 0.0000 | -5.772 |
| 10 | 0.0000 | -3.047 |
| 11 | 0.0000 | -5.190 |
| 12 | 0.0000 | -1.872 |
| 13 | 0.0000 | -3.536 |
| 14 | 0.0001 | -8.207 |
| 15 | 0.1264 | -3.225 |
| 16 | 1.0394 | -9.642 |
| 17 | 0.0000 | -4.670 |
| 18 | 0.0004 | -5.903 |
| 19 | 0.0000 | -5.187 |
| 20 | 0.0000 | -8.147 |